{
  "formula": "AlInNi2",
  "functional": "PBE",
  "state": "optimized geometry",
  "lattice": [[4.3232, 0.0000, 0.0000], [2.1616, 3.7440, 0.0000], [2.1616, 1.2480, 3.5298]],
  "species": ["Al", "In", "Ni", "Ni"],
  "frac_coords": [[0.5000, 0.5000, 0.5000], [0.7500, 0.7500, 0.7500], [0.2500, 0.2500, 0.2500], [0.0000, 0.0000, 0.0000]],
  "formation_energy_kj_per_mol_fu": -9,
  "sg": "F-43m, No. 216",
  "total_magnetization_mub_per_cell": 0.00,
  "crystal_system": "cubic"
}

***

{
  "formula": "Al2InNi",
  "functional": "PBE",
  "state": "optimized geometry",
  "lattice": [[-1.5114, 0.9091, -5.9611], [3.3823, -0.8337, -5.1489], [-2.8036, -1.8583, 5.2281]],
  "species": ["Ni", "Al", "Al", "In"],
  "frac_coords": [[0.2500, 0.7500, 0.5000], [0.4433, 0.4433, 0.0000], [0.0567, 0.0567, 0.0000], [0.7500, 0.2500, 0.5000]],
  "formation_energy_kj_per_mol_fu": -32,
  "sg": "Immm, No. 71",
  "total_magnetization_mub_per_cell": 0.00,
  "crystal_system": "orthorhombic"
}

***

{
  "formula": "AlInNi6",
  "functional": "PBE",
  "state": "optimized geometry",
  "lattice": [[-6.1464, 0.8355, 1.2752], [0.6341, -3.2300, -5.4099], [-0.1101, -8.9019, 5.3019]],
  "species": ["Ni", "Ni", "Ni", "Ni", "Ni", "Ni", "Ni", "Ni", "Ni", "Ni", "Ni", "Ni", "Ni", "Ni", "Ni", "Ni", "Ni", "Ni", "Ni", "Ni", "Ni", "Ni", "Ni", "Ni", "In", "In", "In", "In", "Al", "Al", "Al", "Al"],
  "frac_coords": [[0.1155, 0.3698, 0.3699], [0.8827, 0.6373, 0.8811], [0.8827, 0.6373, 0.6189], [0.7547, 0.2453, 0.4906], [0.5000, 0.5000, 0.2500], [0.1155, 0.3698, 0.1301], [0.3627, 0.1173, 0.8811], [0.7547, 0.2453, 0.0094], [0.8845, 0.6302, 0.1301], [0.6302, 0.8845, 0.1301], [0.8845, 0.6302, 0.3699], [0.6302, 0.8845, 0.3699], [0.6373, 0.8827, 0.6189], [0.3627, 0.1173, 0.6189], [0.3698, 0.1155, 0.1301], [0.0000, 0.0000, 0.7500], [0.1173, 0.3627, 0.6189], [0.2453, 0.7547, 0.4906], [0.1173, 0.3627, 0.8811], [0.5000, 0.5000, 0.7500], [0.2453, 0.7547, 0.0094], [0.0000, 0.0000, 0.2500], [0.3698, 0.1155, 0.3699], [0.6373, 0.8827, 0.8811], [0.5000, 0.5000, 0.0023], [0.2549, 0.7451, 0.7500], [0.5000, 0.5000, 0.4977], [0.7451, 0.2549, 0.7500], [0.2540, 0.7460, 0.2500], [0.7460, 0.2540, 0.2500], [0.0000, 0.0000, 0.0043], [0.0000, 0.0000, 0.4957]],
  "formation_energy_kj_per_mol_fu": -174,
  "relative_energy_kj_per_mol_fu": 6,
  "sg": "Cmmm, No. 65",
  "total_magnetization_mub_per_cell": 5.61,
  "crystal_system": "orthorhombic"
}

***

{
  "formula": "AlInNi2",
  "functional": "PBE",
  "state": "optimized geometry",
  "lattice": [[-3.8355, 2.8845, 1.0705], [-1.3375, 0.1630, 4.7288], [4.1997, 0.4776, -2.5124]],
  "species": ["Ni", "Ni", "In", "Al"],
  "frac_coords": [[0.2500, 0.7500, 0.5000], [0.0000, 0.0000, 0.0000], [0.7500, 0.2500, 0.5000], [0.5000, 0.5000, 0.0000]],
  "formation_energy_kj_per_mol_fu": -84,
  "sg": "I-4m2, No. 119",
  "total_magnetization_mub_per_cell": 0.00,
  "crystal_system": "tetragonal"
}

***

{
  "formula": "Al2InNi",
  "functional": "PBE",
  "state": "optimized geometry",
  "lattice": [[-2.5941, 3.1441, 2.7732], [-4.4563, 0.6530, -2.0052], [2.5164, -4.0814, 1.1471]],
  "species": ["Ni", "In", "Al", "Al"],
  "frac_coords": [[0.7500, 0.2500, 0.5000], [0.5000, 0.5000, 0.0000], [0.0000, 0.0000, 0.0000], [0.2500, 0.7500, 0.5000]],
  "formation_energy_kj_per_mol_fu": 12,
  "sg": "I-4m2, No. 119",
  "total_magnetization_mub_per_cell": 0.00,
  "crystal_system": "tetragonal"
}

***

{
  "formula": "AlInNi2",
  "functional": "PBE",
  "state": "optimized geometry",
  "lattice": [[4.8334, -0.0033, 0.0070], [3.8915, 2.8667, 0.0070], [1.1557, 0.3793, 4.1083]],
  "species": ["Ni", "Ni", "Al", "In"],
  "frac_coords": [[0.7523, 0.7523, 0.7030], [0.0056, 0.0056, 0.0304], [0.4853, 0.4853, 0.5649], [0.2568, 0.2568, 0.2017]],
  "formation_energy_kj_per_mol_fu": -88,
  "sg": "Cm, No. 8",
  "total_magnetization_mub_per_cell": 0.00,
  "crystal_system": "monoclinic"
}